Entry 1:
Ca2CdSi2Rh5: optimized geometry, GGA-PBE.

a = 3.319 Å, b = 10.107 Å, c = 10.107 Å
α = 90.00°, β = 90.00°, γ = 90.00°
Atoms (fractional coordinates):
Ca  0.000  0.826  0.674
Ca  0.000  0.174  0.326
Ca  0.000  0.326  0.826
Ca  0.000  0.674  0.174
Rh  0.500  0.069  0.782
Rh  0.500  0.569  0.718
Rh  0.500  0.782  0.931
Rh  0.500  0.931  0.218
Rh  0.500  0.000  0.500
Rh  0.500  0.282  0.569
Rh  0.500  0.218  0.069
Rh  0.500  0.500  0.000
Rh  0.500  0.718  0.431
Rh  0.500  0.431  0.282
Si  0.000  0.126  0.626
Si  0.000  0.374  0.126
Si  0.000  0.626  0.874
Si  0.000  0.874  0.374
Cd  0.000  0.000  0.000
Cd  0.000  0.500  0.500

E_form (uncorrected)   -69.7 kJ/mol of atoms
Space-group type   No. 127
N(E_F)   0.34 states/eV per atom
Total magnetization   0.0 μB/cell

Entry 2:
SrCaCd2Rh: optimized geometry, GGA-PBE.

a = 5.367 Å, b = 5.367 Å, c = 5.128 Å
α = 90.00°, β = 90.00°, γ = 90.00°
Atoms (fractional coordinates):
Cd  0.500  0.000  0.000
Cd  0.000  0.500  0.000
Ca  0.000  0.000  0.500
Sr  0.500  0.500  0.500
Rh  0.000  0.000  0.000

Space-group type   No. 123
E_form   -1.101 eV per formula unit
N(E_F)   0.72 states/eV per atom
Total magnetization   0.0 μB/cell

| no. | V (Å³ per atom) |
| --- | --- |
| 1 | 16.9 |
| 2 | 29.5 |